WC6O6: relaxed, PBE with a Hubbard U.

Structure (CIF):
```
data_WC6O6
_chemical_formula_sum 'W4 C24 O24'
_symmetry_space_group_name_H-M 'P 1'
_symmetry_Int_Tables_number 1
_cell_length_a 12.6088
_cell_length_b 11.9149
_cell_length_c 6.7347
_cell_angle_alpha 90.00
_cell_angle_beta 90.00
_cell_angle_gamma 90.00
loop_
_symmetry_equiv_pos_as_xyz
'x,y,z'
loop_
_atom_site_label
_atom_site_fract_x
_atom_site_fract_y
_atom_site_fract_z
W1 0.1272 0.2500 0.0615
W2 0.3728 0.7500 0.5615
W3 0.6272 0.2500 0.4385
W4 0.8728 0.7500 0.9385
C1 0.0292 0.1263 0.1796
C2 0.0292 0.3737 0.1796
C3 0.0366 0.2500 0.8030
C4 0.2185 0.2500 0.3186
C5 0.2242 0.1252 0.9427
C6 0.2242 0.3748 0.9427
C7 0.2758 0.6252 0.4427
C8 0.2758 0.8748 0.4427
C9 0.2815 0.7500 0.8186
C10 0.4634 0.7500 0.3030
C11 0.4708 0.6263 0.6796
C12 0.4708 0.8737 0.6796
C13 0.5292 0.1263 0.3204
C14 0.5292 0.3737 0.3204
C15 0.5366 0.2500 0.6970
C16 0.7185 0.2500 0.1814
C17 0.7242 0.1252 0.5573
C18 0.7242 0.3748 0.5573
C19 0.7758 0.6252 0.0573
C20 0.7758 0.8748 0.0573
C21 0.7815 0.7500 0.6814
C22 0.9634 0.7500 0.1970
C23 0.9708 0.6263 0.8204
C24 0.9708 0.8737 0.8204
O1 0.0133 0.7500 0.3417
O2 0.0260 0.5574 0.7559
O3 0.0260 0.9426 0.7559
O4 0.2225 0.5553 0.3768
O5 0.2225 0.9447 0.3768
O6 0.2305 0.7500 0.9621
O7 0.2695 0.2500 0.4621
O8 0.2775 0.0553 0.8768
O9 0.2775 0.4447 0.8768
O10 0.4740 0.0574 0.2559
O11 0.4740 0.4426 0.2559
O12 0.4867 0.2500 0.8417
O13 0.5133 0.7500 0.1583
O14 0.5260 0.5574 0.7441
O15 0.5260 0.9426 0.7441
O16 0.7225 0.5553 0.1232
O17 0.7225 0.9447 0.1232
O18 0.7305 0.7500 0.5379
O19 0.7695 0.2500 0.0379
O20 0.7775 0.0553 0.6232
O21 0.7775 0.4447 0.6232
O22 0.9740 0.0574 0.2441
O23 0.9740 0.4426 0.2441
O24 0.9867 0.2500 0.6583
```

Values from the calculation:
The calculation puts the electronic total energy at -7.700 eV per atom. The value obtained for the density of states at the Fermi level is 0.0 states/eV/cell.